No. 1
# RbCd, optimized geometry, DFT PBE
# Total magnetic moment in μB per cell: 0.00
data_RbCd
_chemical_formula_sum 'Rb8 Cd8'
_symmetry_space_group_name_H-M 'I -4 3 m'
_symmetry_Int_Tables_number 217
_symmetry_space_group_name_Hall 'I -4 2 3'
_cell_length_a 11.028
_cell_length_b 11.028
_cell_length_c 11.028
_cell_angle_alpha 90.00
_cell_angle_beta 90.00
_cell_angle_gamma 90.00
loop_
_atom_site_label
_atom_site_type_symbol
_atom_site_fract_x
_atom_site_fract_y
_atom_site_fract_z
Rb1 Rb 0.210 0.210 0.210
Cd1 Cd 0.099 0.099 0.901

No. 2
# Tm8Si3Te3S, optimized geometry, DFT PBE
# Total magnetic moment in μB per cell: 0.00
data_Tm8Si3Te3S
_chemical_formula_sum 'Tm24 Si9 Te9 S3'
_symmetry_space_group_name_H-M 'R -3 m'
_symmetry_Int_Tables_number 166
_symmetry_space_group_name_Hall '-R 3 2"'
_cell_length_a 8.2064
_cell_length_b 8.2064
_cell_length_c 20.5985
_cell_angle_alpha 90.00
_cell_angle_beta 90.00
_cell_angle_gamma 120.00
loop_
_atom_site_label
_atom_site_type_symbol
_atom_site_fract_x
_atom_site_fract_y
_atom_site_fract_z
Tm1 Tm 0.0000 0.0000 0.2391
Tm2 Tm 0.0088 0.5044 0.7599
Si1 Si 0.0000 0.5000 0.5000
Te1 Te 0.0000 0.5000 0.0000
S1 S 0.0000 0.0000 0.5000

No. 3
# NaCuSbBr5, optimized geometry, DFT PBE
# Total magnetic moment in μB per cell: 0.34
data_NaCuSbBr5
_chemical_formula_sum 'Na4 Cu4 Sb4 Br20'
_symmetry_space_group_name_H-M 'C 1 2/c 1'
_symmetry_Int_Tables_number 15
_symmetry_space_group_name_Hall '-C 2yc'
_cell_length_a 9.135
_cell_length_b 10.888
_cell_length_c 11.252
_cell_angle_alpha 90.00
_cell_angle_beta 104.68
_cell_angle_gamma 90.00
loop_
_atom_site_label
_atom_site_type_symbol
_atom_site_fract_x
_atom_site_fract_y
_atom_site_fract_z
Na1 Na 0.250 0.250 0.000
Cu1 Cu 0.000 0.085 0.250
Sb1 Sb 0.000 0.378 0.250
Br1 Br 0.000 0.378 0.750
Br2 Br 0.044 0.194 0.442
Br3 Br 0.206 0.085 0.786

No. 4
# Rb3Er3SnSe8, optimized geometry, DFT PBE
# Total magnetic moment in μB per cell: 0.00
data_Rb3Er3SnSe8
_chemical_formula_sum 'Rb9 Er9 Sn3 Se24'
_symmetry_space_group_name_H-M 'R -3 m'
_symmetry_Int_Tables_number 166
_symmetry_space_group_name_Hall '-R 3 2"'
_cell_length_a 8.2667
_cell_length_b 8.2667
_cell_length_c 24.5497
_cell_angle_alpha 90.00
_cell_angle_beta 90.00
_cell_angle_gamma 120.00
loop_
_atom_site_label
_atom_site_type_symbol
_atom_site_fract_x
_atom_site_fract_y
_atom_site_fract_z
Rb1 Rb 0.0000 0.5000 0.0000
Er1 Er 0.0000 0.5000 0.5000
Sn1 Sn 0.0000 0.0000 0.5000
Se1 Se 0.0000 0.0000 0.2307
Se2 Se 0.0092 0.5046 0.2299

No. 5
# KCaRh2, optimized geometry, DFT PBE
# Total magnetic moment in μB per cell: 1.96
data_KCaRh2
_chemical_formula_sum 'K4 Ca4 Rh8'
_symmetry_space_group_name_H-M 'I -4 2 d'
_symmetry_Int_Tables_number 122
_symmetry_space_group_name_Hall 'I -4 2bw'
_cell_length_a 4.769
_cell_length_b 4.769
_cell_length_c 19.503
_cell_angle_alpha 90.00
_cell_angle_beta 90.00
_cell_angle_gamma 90.00
loop_
_atom_site_label
_atom_site_type_symbol
_atom_site_fract_x
_atom_site_fract_y
_atom_site_fract_z
K1 K 0.000 0.000 0.000
Ca1 Ca 0.000 0.000 0.500
Rh1 Rh 0.098 0.250 0.625

No. 6
# Li2MnInRh, optimized geometry, DFT PBE
# Total magnetic moment in μB per cell: 3.80
data_Li2MnInRh
_chemical_formula_sum 'Li2 Mn1 In1 Rh1'
_symmetry_space_group_name_H-M 'P 4/m m m'
_symmetry_Int_Tables_number 123
_symmetry_space_group_name_Hall '-P 4 2'
_cell_length_a 4.365
_cell_length_b 4.365
_cell_length_c 4.992
_cell_angle_alpha 90.00
_cell_angle_beta 90.00
_cell_angle_gamma 90.00
loop_
_atom_site_label
_atom_site_type_symbol
_atom_site_fract_x
_atom_site_fract_y
_atom_site_fract_z
Li1 Li 0.000 0.500 0.000
Mn1 Mn 0.000 0.000 0.000
In1 In 0.000 0.000 0.500
Rh1 Rh 0.500 0.500 0.500

No. 7
# NdBTe, optimized geometry, DFT PBE
# Total magnetic moment in μB per cell: 0.00
data_NdBTe
_chemical_formula_sum 'Nd4 B4 Te4'
_symmetry_space_group_name_H-M 'C 1 2/m 1'
_symmetry_Int_Tables_number 12
_symmetry_space_group_name_Hall '-C 2y'
_cell_length_a 10.575
_cell_length_b 3.905
_cell_length_c 6.900
_cell_angle_alpha 90.00
_cell_angle_beta 94.97
_cell_angle_gamma 90.00
loop_
_atom_site_label
_atom_site_type_symbol
_atom_site_fract_x
_atom_site_fract_y
_atom_site_fract_z
Nd1 Nd 0.137 0.000 0.335
B1 B 0.069 0.500 0.562
Te1 Te 0.150 0.000 0.816

No. 8
# CsSn8Sb2, optimized geometry, DFT PBE
# Total magnetic moment in μB per cell: 0.00
data_CsSn8Sb2
_chemical_formula_sum 'Cs2 Sn16 Sb4'
_symmetry_space_group_name_H-M 'C 1 2/m 1'
_symmetry_Int_Tables_number 12
_symmetry_space_group_name_Hall '-C 2y'
_cell_length_a 17.793
_cell_length_b 6.761
_cell_length_c 6.327
_cell_angle_alpha 90.00
_cell_angle_beta 98.94
_cell_angle_gamma 90.00
loop_
_atom_site_label
_atom_site_type_symbol
_atom_site_fract_x
_atom_site_fract_y
_atom_site_fract_z
Cs1 Cs 0.000 0.000 0.000
Sn1 Sn 0.054 0.500 0.722
Sn2 Sn 0.171 0.225 0.566
Sn3 Sn 0.247 0.000 0.046
Sb1 Sb 0.119 0.500 0.184

No. 9
# RbTbCuBr5, optimized geometry, DFT PBE
# Total magnetic moment in μB per cell: 0.59
data_RbTbCuBr5
_chemical_formula_sum 'Rb4 Tb4 Cu4 Br20'
_symmetry_space_group_name_H-M 'C 1 2/c 1'
_symmetry_Int_Tables_number 15
_symmetry_space_group_name_Hall '-C 2yc'
_cell_length_a 9.408
_cell_length_b 12.504
_cell_length_c 10.593
_cell_angle_alpha 90.00
_cell_angle_beta 113.18
_cell_angle_gamma 90.00
loop_
_atom_site_label
_atom_site_type_symbol
_atom_site_fract_x
_atom_site_fract_y
_atom_site_fract_z
Rb1 Rb 0.000 0.148 0.250
Tb1 Tb 0.000 0.500 0.000
Cu1 Cu 0.000 0.190 0.750
Br1 Br 0.000 0.421 0.250
Br2 Br 0.108 0.296 0.611
Br3 Br 0.193 0.073 0.927

No. 10
# CeNd4Ag5, optimized geometry, DFT PBE
# Total magnetic moment in μB per cell: 1.07
data_CeNd4Ag5
_chemical_formula_sum 'Ce1 Nd4 Ag5'
_symmetry_space_group_name_H-M 'P 4/m m m'
_symmetry_Int_Tables_number 123
_symmetry_space_group_name_Hall '-P 4 2'
_cell_length_a 3.710
_cell_length_b 3.710
_cell_length_c 19.171
_cell_angle_alpha 90.00
_cell_angle_beta 90.00
_cell_angle_gamma 90.00
loop_
_atom_site_label
_atom_site_type_symbol
_atom_site_fract_x
_atom_site_fract_y
_atom_site_fract_z
Ce1 Ce 0.000 0.000 0.000
Nd1 Nd 0.000 0.000 0.200
Nd2 Nd 0.000 0.000 0.400
Ag1 Ag 0.500 0.500 0.102
Ag2 Ag 0.500 0.500 0.300
Ag3 Ag 0.500 0.500 0.500

No. 11
# Tb2MgSb, optimized geometry, DFT PBE
# Total magnetic moment in μB per cell: 0.00
data_Tb2MgSb
_chemical_formula_sum 'Tb6 Mg3 Sb3'
_symmetry_space_group_name_H-M 'R -3 m'
_symmetry_Int_Tables_number 166
_symmetry_space_group_name_Hall '-R 3 2"'
_cell_length_a 4.1647
_cell_length_b 4.1647
_cell_length_c 25.0236
_cell_angle_alpha 90.00
_cell_angle_beta 90.00
_cell_angle_gamma 120.00
loop_
_atom_site_label
_atom_site_type_symbol
_atom_site_fract_x
_atom_site_fract_y
_atom_site_fract_z
Tb1 Tb 0.0000 0.0000 0.2401
Mg1 Mg 0.0000 0.0000 0.0000
Sb1 Sb 0.0000 0.0000 0.5000

No. 12
# CaPt2Au2, optimized geometry, DFT PBE
# Total magnetic moment in μB per cell: 0.00
data_CaPt2Au2
_chemical_formula_sum 'Ca2 Pt4 Au4'
_symmetry_space_group_name_H-M 'I 4/m m m'
_symmetry_Int_Tables_number 139
_symmetry_space_group_name_Hall '-I 4 2'
_cell_length_a 3.906
_cell_length_b 3.906
_cell_length_c 13.313
_cell_angle_alpha 90.00
_cell_angle_beta 90.00
_cell_angle_gamma 90.00
loop_
_atom_site_label
_atom_site_type_symbol
_atom_site_fract_x
_atom_site_fract_y
_atom_site_fract_z
Ca1 Ca 0.000 0.000 0.000
Pt1 Pt 0.000 0.500 0.250
Au1 Au 0.000 0.000 0.400

No. 13
# CdPt2Pb, optimized geometry, DFT PBE
# Total magnetic moment in μB per cell: 0.00
data_CdPt2Pb
_chemical_formula_sum 'Cd1 Pt2 Pb1'
_symmetry_space_group_name_H-M 'P 4 m m'
_symmetry_Int_Tables_number 99
_symmetry_space_group_name_Hall 'P 4 -2'
_cell_length_a 3.743
_cell_length_b 3.743
_cell_length_c 5.714
_cell_angle_alpha 90.00
_cell_angle_beta 90.00
_cell_angle_gamma 90.00
loop_
_atom_site_label
_atom_site_type_symbol
_atom_site_fract_x
_atom_site_fract_y
_atom_site_fract_z
Cd1 Cd 0.000 0.000 0.000
Pt1 Pt 0.000 0.000 0.520
Pt2 Pt 0.500 0.500 0.826
Pb1 Pb 0.500 0.500 0.332

No. 14
# Mn2ReOs, optimized geometry, DFT PBE
# Total magnetic moment in μB per cell: 3.34
data_Mn2ReOs
_chemical_formula_sum 'Mn4 Re2 Os2'
_symmetry_space_group_name_H-M 'C m m m'
_symmetry_Int_Tables_number 65
_symmetry_space_group_name_Hall '-C 2 2'
_cell_length_a 5.325
_cell_length_b 7.311
_cell_length_c 2.668
_cell_angle_alpha 90.00
_cell_angle_beta 90.00
_cell_angle_gamma 90.00
loop_
_atom_site_label
_atom_site_type_symbol
_atom_site_fract_x
_atom_site_fract_y
_atom_site_fract_z
Mn1 Mn 0.250 0.250 0.000
Re1 Re 0.000 0.000 0.500
Os1 Os 0.000 0.500 0.500

Number 1: calculated total energy -0.78 eV/atom. Number 2: calculated total energy -5.42 eV/atom. Number 3: calculated total energy -2.89 eV/atom. Number 4: calculated total energy -4.68 eV/atom. Number 5: calculated total energy -3.93 eV/atom. Number 6: calculated total energy -3.74 eV/atom. Number 7: calculated total energy -5.25 eV/atom. Number 8: calculated total energy -3.75 eV/atom. Number 9: calculated total energy -3.69 eV/atom. Number 10: calculated total energy -4.14 eV/atom. Number 11: calculated total energy -4.14 eV/atom. Number 12: calculated total energy -4.51 eV/atom. Number 13: calculated total energy -4.25 eV/atom. Number 14: calculated total energy -10.43 eV/atom.